1.
VASP calculation (GGA-PBE) on an optimized crystal structure of CoOs5.

Structure (extended XYZ):
```
6
Lattice="7.162 0.004 0.000 -6.639 2.685 0.000 0.000 0.000 4.296" Properties=species:S:1:pos:R:3 pbc="T T T"
Os -2.026 1.788 0.000
Os 2.541 0.901 0.000
Os 5.664 0.295 2.148
Os -3.589 2.092 2.148
Os 0.989 1.203 2.148
Co -6.613 2.680 0.000
```

Summary:
- N(E_F) (states/eV/f.u.) = 5.31
- ΔE to the lowest computed polymorph (meV per atom) = 0
- energy of formation (eV/atom) = 0.058
- SG = No. 38
- DFT total energy (eV per atom) = -10.48


2.
VASP calculation (GGA-PBE) on an optimized crystal structure of TbPr3Y4.

Structure (extended XYZ):
```
16
Lattice="-2.567 1.666 5.576 -2.924 -6.742 0.669 9.577 -3.610 5.487" Properties=species:S:1:pos:R:3 pbc="T T T"
Y -2.019 0.252 3.690
Y 2.769 -1.558 6.429
Y -2.940 -5.668 1.402
Y -1.395 -6.020 4.658
Y 3.363 -7.814 7.384
Y 4.318 -1.902 9.685
Y -0.501 -0.085 6.924
Y 1.845 -7.475 4.150
Pr 3.312 -4.078 3.824
Pr -1.951 -3.484 7.254
Pr 2.840 -5.290 9.999
Pr 0.067 -2.629 4.300
Pr 4.853 -4.433 7.042
Pr -3.496 -3.139 4.037
Tb -1.465 -2.256 1.072
Tb 1.287 -4.965 6.776
```

Summary:
- N(E_F) (states/eV/f.u.) = 15.09
- ΔE to the lowest computed polymorph (meV per atom) = 0
- energy of formation (eV/atom) = 0.020
- SG = No. 31
- DFT total energy (eV per atom) = -5.58


3.
VASP calculation (GGA-PBE) on an optimized crystal structure of ScTaSn2B.

Structure (extended XYZ):
```
5
Lattice="4.755 0.000 0.000 0.000 4.404 0.000 0.000 0.000 4.755" Properties=species:S:1:pos:R:3 pbc="T T T"
B 0.000 0.000 0.000
Sn 2.377 0.000 0.000
Sn 0.000 0.000 2.377
Ta 0.000 2.202 0.000
Sc 2.377 2.202 2.377
```

Summary:
- N(E_F) (states/eV/f.u.) = 7.09
- energy of formation (eV/atom) = 0.392
- SG = No. 123
- DFT total energy (eV per atom) = -6.18


4.
VASP calculation (GGA-PBE) on an optimized crystal structure of Tb5PmY8.

Structure (extended XYZ):
```
14
Lattice="-2.247 8.167 -0.024 -6.497 -4.996 -2.138 2.680 -1.621 7.870" Properties=species:S:1:pos:R:3 pbc="T T T"
Tb 1.285 0.264 7.358
Tb -7.285 2.252 -0.493
Tb -1.806 -1.532 0.394
Tb 0.217 3.273 3.923
Tb -4.322 2.115 4.155
Y -0.881 6.000 4.996
Y -1.295 0.771 2.806
Y -4.380 0.833 0.876
Y -4.983 -2.450 -0.969
Y -3.783 -3.872 2.110
Y -4.969 -1.221 4.581
Y -2.368 4.116 2.032
Y -1.597 2.023 6.395
Pm -1.800 -1.672 4.827
```

Summary:
- N(E_F) (states/eV/f.u.) = 21.96
- energy of formation (eV/atom) = 0.242
- SG = No. 82
- DFT total energy (eV per atom) = -5.44


5.
VASP calculation (GGA-PBE) on an optimized crystal structure of NiH3.

Structure (extended XYZ):
```
32
Lattice="3.799 0.000 0.000 0.000 6.593 0.000 0.000 0.000 6.593" Properties=species:S:1:pos:R:3 pbc="T T T"
H 0.008 5.397 2.614
H 3.788 5.908 4.494
H 1.892 4.493 0.682
H 2.849 2.849 4.202
H 0.012 2.100 5.908
H 1.892 2.100 5.911
H 2.850 6.146 0.906
H 2.850 0.447 5.687
H 0.012 4.494 0.685
H 3.791 2.614 1.196
H 3.788 0.685 2.100
H 0.950 4.202 3.744
H 1.888 5.396 2.612
H 3.791 3.979 5.397
H 0.949 5.687 6.146
H 1.911 2.612 1.197
H 1.908 5.911 4.493
H 1.911 3.982 5.396
H 0.949 0.906 0.447
H 1.888 1.197 3.982
H 1.908 0.682 2.100
H 0.950 2.391 2.849
H 2.849 3.744 2.391
H 0.008 1.196 3.979
Ni 0.951 3.772 2.027
Ni 2.849 2.027 2.821
Ni 0.949 6.118 1.269
Ni 2.850 5.324 6.118
Ni 2.849 4.566 3.772
Ni 0.951 2.821 4.566
Ni 2.850 1.269 0.476
Ni 0.949 0.476 5.324
```

Summary:
- N(E_F) (states/eV/f.u.) = 0.56
- ΔE to the lowest computed polymorph (meV per atom) = 33
- SG = No. 84
- DFT total energy (eV per atom) = -3.73


6.
VASP calculation (GGA-PBE) on an optimized crystal structure of ZnGa3Ni7.

Structure (extended XYZ):
```
11
Lattice="0.004 -1.533 -4.416 2.625 -3.672 4.454 -5.290 -0.721 3.422" Properties=species:S:1:pos:R:3 pbc="T T T"
Ga -3.529 -1.378 3.652
Ga 0.002 -0.767 -2.208
Ga 0.864 -3.015 4.225
Zn -1.330 -2.963 1.730
Ni 0.247 -4.731 2.629
Ni -0.530 -1.420 0.005
Ni 1.164 -2.713 1.363
Ni -3.825 -3.213 2.098
Ni -2.907 -1.195 0.832
Ni -1.332 -2.196 3.938
Ni -2.130 -4.506 3.456
```

Summary:
- N(E_F) (states/eV/f.u.) = 7.42
- energy of formation (eV/atom) = -0.053
- SG = No. 12
- DFT total energy (eV per atom) = -4.67